# LaPuI6, relaxed, DFT PBE
# **Volume**: 681.1 Å³/cell
# **Uncorrected energy**: -4.855 eV per atom
# **Density**: 5580 kg/m³
data_LaPuI6
_chemical_formula_sum 'La2 Pu2 I12'
_cell_length_a 10.117
_cell_length_b 4.328
_cell_length_c 15.557
_cell_angle_alpha 90.00
_cell_angle_beta 90.00
_cell_angle_gamma 90.00
_symmetry_space_group_name_H-M 'A m m 2'
_symmetry_Int_Tables_number 38
_symmetry_space_group_name_Hall 'A 2 -2'
loop_
_atom_site_label
_atom_site_type_symbol
_atom_site_fract_x
_atom_site_fract_y
_atom_site_fract_z
La1 La 0.000 0.000 0.000
Pu1 Pu 0.500 0.000 0.481
I1 I 0.000 0.000 0.651
I2 I 0.184 0.000 0.393
I3 I 0.321 0.000 0.085
I4 I 0.500 0.000 0.835